Record 1
Here is a relaxed AcPr4Co2 crystal from Alexandria via LeMat-Bulk. Energies are from PBE.

Cell and atoms, written as POSCAR:
```
AcPr4Co2
1.0
7.0946 0.0000 0.0000
0.0000 6.9067 0.0000
-3.4773 0.0000 8.4774
Ac Pr Co
2 8 4
direct
0.2338 0.2500 0.2025
0.7662 0.7500 0.7975
0.0192 0.2500 0.7837
0.2800 0.0007 0.5650
0.2800 0.4993 0.5650
0.3352 0.7500 0.9994
0.6648 0.2500 0.0006
0.7200 0.5007 0.4350
0.7200 0.9993 0.4350
0.9808 0.7500 0.2163
0.0368 0.7500 0.6609
0.3757 0.7500 0.3359
0.6243 0.2500 0.6641
0.9632 0.2500 0.3391
```

Summary:
Space group ... P2_1/m (11)
Crystal system ... monoclinic

---

Record 2
Here is a relaxed AcPr12Co5 crystal from Alexandria via LeMat-Bulk. Energies are from PBE.

Cell and atoms, written as POSCAR:
```
AcPr12Co5
1.0
-5.0199 5.0696 5.1746
5.0199 -5.0696 5.1746
5.0199 5.0696 -5.1746
Ac Pr Co
1 12 5
direct
0.0000 0.0000 0.0000
0.1191 0.3101 0.8090
0.1884 0.5055 0.3170
0.1884 0.8714 0.6830
0.3190 0.2014 0.5204
0.3190 0.7986 0.1176
0.4988 0.6899 0.8090
0.5012 0.3101 0.1910
0.6810 0.2014 0.8824
0.6810 0.7986 0.4796
0.8116 0.1286 0.3170
0.8116 0.4945 0.6830
0.8809 0.6899 0.1910
0.1174 0.5000 0.6174
0.3901 0.8901 0.5000
0.5000 0.5000 0.0000
0.6099 0.1099 0.5000
0.8826 0.5000 0.3826
```

Summary:
Space group ... Immm (71)
Crystal system ... orthorhombic

---

Record 3
Here is a relaxed AcPr3Co crystal from Alexandria via LeMat-Bulk. Energies are from PBE.

Cell and atoms, written as POSCAR:
```
AcPr3Co
1.0
5.5787 0.0000 0.0000
0.0000 5.5787 0.0000
0.0000 0.0000 5.5787
Ac Pr Co
1 3 1
direct
0.0000 0.0000 0.0000
0.0000 0.5000 0.5000
0.5000 0.0000 0.5000
0.5000 0.5000 0.0000
0.5000 0.5000 0.5000
```

Summary:
Space group ... Pm-3m (221)
Crystal system ... cubic
Energy above the most stable polymorph in this dataset ... 105.8 meV/atom

---

Record 4
Here is a relaxed Ac4PrCo2 crystal from Alexandria via LeMat-Bulk. Energies are from PBE.

Cell and atoms, written as POSCAR:
```
Ac4PrCo2
1.0
7.4743 0.0000 0.0000
0.0000 7.2170 0.0000
-3.5786 0.0000 8.5099
Ac Pr Co
8 2 4
direct
0.1730 0.2500 0.0004
0.2140 0.5009 0.4214
0.2140 0.9991 0.4214
0.2743 0.7500 0.7943
0.7257 0.2500 0.2057
0.7860 0.0009 0.5786
0.7860 0.4991 0.5786
0.8270 0.7500 0.9996
0.4967 0.7500 0.2203
0.5033 0.2500 0.7797
0.1257 0.2500 0.6560
0.4743 0.2500 0.3508
0.5257 0.7500 0.6492
0.8743 0.7500 0.3440
```

Summary:
Space group ... P2_1/m (11)
Crystal system ... monoclinic

---

Record 5
Here is a relaxed AcPrCo crystal from Alexandria via LeMat-Bulk. Energies are from PBE.

Cell and atoms, written as POSCAR:
```
AcPrCo
1.0
13.1488 0.0000 0.0000
0.0000 3.9608 0.0000
-5.5475 0.0000 6.8958
Ac Pr Co
4 4 4
direct
0.0702 0.0000 0.3728
0.4298 0.5000 0.6272
0.5702 0.5000 0.3728
0.9298 0.0000 0.6272
0.1904 0.5000 0.0981
0.3096 0.0000 0.9019
0.6904 0.0000 0.0981
0.8096 0.5000 0.9019
0.1124 0.5000 0.6967
0.3876 0.0000 0.3033
0.6124 0.0000 0.6967
0.8876 0.5000 0.3033
```

Summary:
Space group ... C2/m (12)
Crystal system ... monoclinic
Energy above the most stable polymorph in this dataset ... 0.0 meV/atom

---

Record 6
Here is a relaxed AcPrCo2 crystal from Alexandria via LeMat-Bulk. Energies are from PBE.

Cell and atoms, written as POSCAR:
```
AcPrCo2
1.0
5.0561 0.0000 0.0000
0.0000 5.0561 0.0000
0.0000 0.0000 3.5788
Ac Pr Co
1 1 2
direct
0.0000 0.0000 0.0000
0.5000 0.5000 0.0000
0.0000 0.5000 0.5000
0.5000 0.0000 0.5000
```

Summary:
Space group ... P4/mmm (123)
Crystal system ... tetragonal
Energy above the most stable polymorph in this dataset ... 168.0 meV/atom

---

no.,energy of formation from the pure elements (kJ/mol of atoms)
1,1.7
2,-1.0
3,7.2
4,3.4
5,-2.4
6,16.6